Record 1
First-principles (GGA+U) data for a relaxed Ca2FeSbO6 crystal, as listed in Alexandria.

a b c (Å): 5.485 5.614 7.823
angles (deg): 90.00 89.83 90.00
Last column: magnetic moment on the atom in μB.
Element x y z (fractional)
Ca: 0.012 0.050 0.251  0.00
Ca: 0.488 0.550 0.249  0.00
Ca: 0.512 0.450 0.751  0.00
Ca: 0.988 0.950 0.749  0.00
Fe: 0.000 0.500 0.500  4.33
Fe: 0.500 0.000 0.000  4.33
Sb: 0.000 0.500 0.000  0.04
Sb: 0.500 0.000 0.500  0.04
O: 0.407 0.030 0.748  0.07
O: 0.093 0.530 0.752  0.07
O: 0.593 0.970 0.252  0.07
O: 0.907 0.470 0.248  0.07
O: 0.800 0.208 0.951  0.08
O: 0.700 0.708 0.549  0.08
O: 0.200 0.792 0.049  0.08
O: 0.300 0.292 0.451  0.08
O: 0.295 0.297 0.048  0.08
O: 0.205 0.797 0.452  0.08
O: 0.705 0.703 0.952  0.08
O: 0.795 0.203 0.548  0.08

Calculated values
M_tot = 9.86 μB per cell
SG = P2_1/c (14)
VASP energy = -6.534 eV per atom

Record 2
First-principles (GGA+U) data for a relaxed Ca3Fe2Sb2O12 crystal, as listed in Alexandria.

a b c (Å): 5.502 5.597 7.764
angles (deg): 89.64 89.84 91.06
Last column: magnetic moment on the atom in μB.
Element x y z (fractional)
Sb: 0.993 0.517 0.994  0.05
Sb: 0.502 0.991 0.503  0.05
Ca: 0.484 0.446 0.748  0.01
Ca: 0.505 0.540 0.250  0.00
Ca: 0.990 0.058 0.252  0.00
Fe: 0.993 0.518 0.507  4.27
Fe: 0.507 0.995 0.996  4.25
O: 0.410 0.977 0.250  -0.01
O: 0.080 0.479 0.248  -0.10
O: 0.568 0.029 0.752  -0.05
O: 0.906 0.518 0.749  0.02
O: 0.791 0.789 0.061  0.03
O: 0.704 0.288 0.456  -0.03
O: 0.217 0.233 0.971  -0.29
O: 0.310 0.689 0.534  0.02
O: 0.313 0.692 0.965  -0.06
O: 0.218 0.213 0.526  -0.25
O: 0.711 0.293 0.047  0.02
O: 0.784 0.788 0.442  0.06

Calculated values
M_tot = 7.90 μB per cell
SG = P1 (1)
VASP energy = -6.290 eV per atom

Record 3
First-principles (GGA+U) data for a relaxed Ca2FeSbO6 crystal, as listed in Alexandria.

a b c (Å): 7.811 5.495 5.652
angles (deg): 89.95 90.00 90.00
Last column: magnetic moment on the atom in μB.
Element x y z (fractional)
Ca: 0.250 0.518 0.435  0.00
Ca: 0.750 0.482 0.565  0.00
Ca: 0.250 0.997 0.958  0.00
Ca: 0.750 0.003 0.042  0.00
Fe: 0.500 0.500 0.000  4.35
Fe: 0.000 0.500 0.000  4.35
Sb: 0.500 0.000 0.500  0.03
Sb: 0.000 0.000 0.500  0.03
O: 0.549 0.292 0.303  0.07
O: 0.950 0.194 0.790  0.07
O: 0.049 0.708 0.697  0.07
O: 0.450 0.806 0.210  0.07
O: 0.550 0.194 0.790  0.07
O: 0.050 0.806 0.210  0.07
O: 0.750 0.896 0.466  0.02
O: 0.951 0.292 0.303  0.07
O: 0.250 0.416 0.028  0.21
O: 0.451 0.708 0.697  0.07
O: 0.250 0.104 0.534  0.02
O: 0.750 0.584 0.972  0.21

Calculated values
M_tot = 10.00 μB per cell
SG = P2_1/m (11)
VASP energy = -6.509 eV per atom

Record 4
First-principles (GGA+U) data for a relaxed CaSc4Fe4O12 crystal, as listed in Alexandria.

a b c (Å): 5.147 5.701 8.993
angles (deg): 81.79 92.62 90.31
Last column: magnetic moment on the atom in μB.
Element x y z (fractional)
Ca: 0.483 0.852 0.944  0.01
Sc: 0.002 0.061 0.283  0.02
Sc: 0.474 0.583 0.305  0.02
Sc: 0.514 0.314 0.695  0.03
Sc: 0.996 0.799 0.679  0.02
Fe: 0.006 0.414 0.978  3.77
Fe: 0.987 0.424 0.488  4.33
Fe: 0.521 0.239 0.118  3.72
Fe: 0.490 0.949 0.492  4.33
O: 0.157 0.458 0.687  0.12
O: 0.174 0.762 0.418  0.14
O: 0.149 0.101 0.086  0.06
O: 0.293 0.256 0.412  0.18
O: 0.329 0.554 0.103  0.06
O: 0.353 0.966 0.695  0.11
O: 0.626 0.929 0.272  0.09
O: 0.882 0.728 0.881  0.04
O: 0.678 0.615 0.551  0.15
O: 0.640 0.252 0.908  0.06
O: 0.800 0.115 0.569  0.18
O: 0.808 0.391 0.285  0.13

Calculated values
M_tot = 18.00 μB per cell
SG = P1 (1)
VASP energy = -7.662 eV per atom

Record 5
First-principles (GGA+U) data for a relaxed CaFeSeO crystal, as listed in Alexandria.

a b c (Å): 3.915 6.041 13.509
angles (deg): 90.00 90.00 90.00
Last column: magnetic moment on the atom in μB.
Element x y z (fractional)
Ca: 0.750 0.752 0.583  0.01
Ca: 0.750 0.252 0.917  0.01
Ca: 0.250 0.248 0.417  0.01
Ca: 0.250 0.748 0.083  0.01
Fe: 0.750 0.881 0.296  3.70
Fe: 0.750 0.381 0.204  3.70
Fe: 0.250 0.119 0.704  3.70
Fe: 0.250 0.619 0.796  3.70
Se: 0.750 0.758 0.908  0.04
Se: 0.750 0.258 0.592  0.04
Se: 0.250 0.242 0.092  0.04
Se: 0.250 0.742 0.408  0.04
O: 0.750 0.704 0.174  0.07
O: 0.750 0.204 0.326  0.07
O: 0.250 0.296 0.826  0.07
O: 0.250 0.796 0.674  0.07

Calculated values
M_tot = 16.00 μB per cell
SG = Pnma (62)
VASP energy = -5.735 eV per atom

Record 6
First-principles (GGA+U) data for a relaxed CaFeSe2O8 crystal, as listed in Alexandria.

a b c (Å): 5.002 5.002 7.759
angles (deg): 71.19 71.19 60.00
Last column: magnetic moment on the atom in μB.
Element x y z (fractional)
Ca: 0.500 0.500 0.500  0.00
Fe: 0.000 0.000 0.000  3.90
Se: 0.253 0.253 0.242  -0.01
Se: 0.747 0.747 0.758  -0.01
O: 0.175 0.175 0.475  0.00
O: 0.597 0.278 0.177  0.01
O: 0.825 0.825 0.525  0.00
O: 0.947 0.597 0.177  0.01
O: 0.053 0.403 0.823  0.01
O: 0.278 0.947 0.177  0.01
O: 0.722 0.053 0.823  0.01
O: 0.403 0.722 0.823  0.01

Calculated values
M_tot = 4.02 μB per cell
SG = R-3 (148)
VASP energy = -5.638 eV per atom

Record 7
First-principles (GGA+U) data for a relaxed CaFe2SiO crystal, as listed in Alexandria.

a b c (Å): 5.011 5.376 5.011
angles (deg): 90.00 90.00 90.00
Last column: magnetic moment on the atom in μB.
Element x y z (fractional)
Ca: 0.000 0.000 0.000  -0.01
Si: 0.000 0.500 0.000  -0.03
Fe: 0.000 0.000 0.500  3.10
Fe: 0.500 0.000 0.000  3.07
O: 0.500 0.500 0.500  0.18

Calculated values
M_tot = 6.47 μB per cell
SG = P4/mmm (123)
VASP energy = -2.609 eV per atom

Record 8
First-principles (GGA+U) data for a relaxed CaFeSi2O6 crystal, as listed in Alexandria.

a b c (Å): 5.340 6.760 6.760
angles (deg): 84.07 78.65 78.65
Last column: magnetic moment on the atom in μB.
Element x y z (fractional)
Ca: 0.750 0.298 0.702  0.00
Ca: 0.250 0.702 0.298  0.00
Fe: 0.750 0.906 0.094  3.78
Fe: 0.250 0.094 0.906  3.78
Si: 0.239 0.620 0.805  0.01
Si: 0.739 0.805 0.620  0.01
Si: 0.761 0.380 0.195  0.01
Si: 0.261 0.195 0.380  0.01
O: 0.846 0.210 0.030  0.03
O: 0.346 0.030 0.210  0.03
O: 0.654 0.970 0.790  0.03
O: 0.154 0.790 0.970  0.03
O: 0.173 0.115 0.610  0.02
O: 0.327 0.390 0.885  0.02
O: 0.827 0.885 0.390  0.02
O: 0.673 0.610 0.115  0.02
O: 0.003 0.633 0.668  0.00
O: 0.503 0.668 0.633  0.00
O: 0.497 0.332 0.367  0.00
O: 0.997 0.367 0.332  0.00

Calculated values
M_tot = 8.00 μB per cell
SG = C2/c (15)
VASP energy = -7.461 eV per atom

Record 9
First-principles (GGA+U) data for a relaxed CaFe3Si4O12 crystal, as listed in Alexandria.

a b c (Å): 7.669 7.669 9.464
angles (deg): 109.99 76.17 73.55
Last column: magnetic moment on the atom in μB.
Element x y z (fractional)
Ca: 0.674 0.701 0.625  0.00
Ca: 0.172 0.703 0.125  0.00
Fe: 0.784 0.091 0.125  3.78
Fe: 0.867 0.259 0.875  3.76
Fe: 0.366 0.257 0.375  3.76
Fe: 0.225 0.901 0.875  3.78
Fe: 0.724 0.901 0.375  3.77
Fe: 0.284 0.091 0.625  3.78
Si: 0.537 0.801 0.082  0.01
Si: 0.036 0.801 0.580  0.01
Si: 0.529 0.384 0.670  0.01
Si: 0.032 0.381 0.167  0.01
Si: 0.963 0.208 0.419  0.01
Si: 0.465 0.207 0.919  0.01
Si: 0.961 0.618 0.831  0.01
Si: 0.462 0.616 0.331  0.01
O: 0.718 0.683 0.902  0.01
O: 0.220 0.681 0.400  0.01
O: 0.969 0.380 0.348  0.01
O: 0.470 0.380 0.849  0.01
O: 0.769 0.338 0.595  0.01
O: 0.272 0.335 0.096  0.01
O: 0.007 0.636 0.655  0.01
O: 0.511 0.631 0.154  0.01
O: 0.589 0.966 0.210  0.06
O: 0.085 0.970 0.706  0.06
O: 0.486 0.209 0.544  0.06
O: 0.994 0.201 0.040  0.06
O: 0.922 0.030 0.295  0.04
O: 0.423 0.030 0.795  0.04
O: 0.015 0.783 0.955  0.04
O: 0.515 0.782 0.455  0.04
O: 0.337 0.888 0.057  0.02
O: 0.838 0.884 0.550  0.03
O: 0.416 0.612 0.700  0.03
O: 0.919 0.606 0.193  0.02
O: 0.167 0.146 0.449  0.04
O: 0.670 0.145 0.948  0.04
O: 0.052 0.384 0.801  0.04
O: 0.553 0.382 0.302  0.04

Calculated values
M_tot = 24.00 μB per cell
SG = C2 (5)
VASP energy = -7.447 eV per atom

Record 10
First-principles (GGA+U) data for a relaxed CaFe2Si4O12 crystal, as listed in Alexandria.

a b c (Å): 6.620 6.620 5.343
angles (deg): 77.35 77.35 84.78
Last column: magnetic moment on the atom in μB.
Element x y z (fractional)
Ca: 0.303 0.697 0.500  0.00
Si: 0.799 0.618 0.486  0.01
Si: 0.621 0.798 0.978  0.01
Si: 0.202 0.379 0.022  0.01
Si: 0.382 0.201 0.514  0.01
Fe: 0.091 0.909 0.000  4.39
Fe: 0.888 0.112 0.500  4.37
O: 0.044 0.187 0.118  0.13
O: 0.610 0.094 0.461  0.11
O: 0.198 0.030 0.609  0.11
O: 0.654 0.646 0.262  0.01
O: 0.906 0.390 0.539  0.11
O: 0.813 0.956 0.882  0.13
O: 0.383 0.886 0.060  0.08
O: 0.114 0.617 0.940  0.08
O: 0.629 0.663 0.749  0.01
O: 0.354 0.346 0.738  0.01
O: 0.970 0.802 0.391  0.11
O: 0.337 0.371 0.251  0.01

Calculated values
M_tot = 9.94 μB per cell
SG = C2 (5)
VASP energy = -7.468 eV per atom

Record 11
First-principles (GGA+U) data for a relaxed CaFeSiO4 crystal, as listed in Alexandria.

a b c (Å): 5.446 5.446 6.480
angles (deg): 90.00 90.00 113.17
Last column: magnetic moment on the atom in μB.
Element x y z (fractional)
Ca: 0.500 0.500 0.500  0.00
Ca: 0.500 0.500 0.000  0.00
Fe: 0.836 0.164 0.250  3.75
Fe: 0.164 0.836 0.750  3.75
Si: 0.139 0.861 0.250  0.01
Si: 0.861 0.139 0.750  0.01
O: 0.193 0.243 0.750  0.03
O: 0.757 0.807 0.750  0.03
O: 0.758 0.242 0.960  0.03
O: 0.758 0.242 0.540  0.03
O: 0.242 0.758 0.040  0.03
O: 0.242 0.758 0.460  0.03
O: 0.807 0.757 0.250  0.03
O: 0.243 0.193 0.250  0.03

Calculated values
M_tot = 8.02 μB per cell
SG = Cmcm (63)
VASP energy = -7.227 eV per atom

Record 12
First-principles (GGA+U) data for a relaxed Ca4ZnFe3Si8O24 crystal, as listed in Alexandria.

a b c (Å): 9.056 5.331 9.988
angles (deg): 74.18 90.00 90.00
Last column: magnetic moment on the atom in μB.
Element x y z (fractional)
Ca: 0.204 0.500 0.500  0.00
Ca: 0.702 0.500 0.000  0.00
Ca: 0.797 0.000 0.500  0.00
Ca: 0.298 0.000 0.000  0.00
Zn: 0.595 0.500 0.500  0.00
Fe: 0.094 0.500 0.000  3.79
Fe: 0.409 0.000 0.500  0.00
Fe: 0.906 0.000 0.000  3.77
Si: 0.908 0.511 0.288  0.00
Si: 0.408 0.519 0.786  0.01
Si: 0.908 0.489 0.712  0.00
Si: 0.408 0.481 0.214  0.01
Si: 0.093 0.989 0.711  0.00
Si: 0.591 0.982 0.214  0.00
Si: 0.093 0.011 0.289  0.00
Si: 0.591 0.018 0.786  0.00
O: 0.984 0.744 0.351  0.00
O: 0.481 0.753 0.849  0.00
O: 0.984 0.256 0.649  0.00
O: 0.481 0.247 0.151  0.00
O: 0.016 0.756 0.649  0.00
O: 0.518 0.746 0.152  0.00
O: 0.016 0.244 0.351  0.00
O: 0.518 0.254 0.848  0.00
O: 0.910 0.595 0.120  0.03
O: 0.411 0.608 0.617  0.00
O: 0.910 0.405 0.880  0.03
O: 0.411 0.392 0.383  0.00
O: 0.091 0.905 0.880  0.03
O: 0.587 0.897 0.383  0.00
O: 0.091 0.095 0.120  0.03
O: 0.587 0.103 0.617  0.00
O: 0.752 0.424 0.363  0.00
O: 0.252 0.427 0.860  0.02
O: 0.752 0.576 0.637  0.00
O: 0.252 0.573 0.140  0.02
O: 0.249 0.076 0.635  0.00
O: 0.747 0.073 0.140  0.02
O: 0.249 0.924 0.365  0.00
O: 0.747 0.927 0.860  0.02

Calculated values
M_tot = 8.00 μB per cell
SG = P2 (3)
VASP energy = -7.300 eV per atom

Record 13
First-principles (GGA+U) data for a relaxed Ca4Zn3FeSi8O24 crystal, as listed in Alexandria.

a b c (Å): 5.328 6.746 13.469
angles (deg): 90.48 101.00 101.78
Last column: magnetic moment on the atom in μB.
Element x y z (fractional)
Ca: 0.100 0.703 0.852  0.00
Ca: 0.602 0.701 0.350  0.00
Ca: 0.396 0.296 0.649  0.00
Ca: 0.900 0.298 0.148  0.00
Zn: 0.298 0.096 0.048  0.00
Zn: 0.701 0.905 0.952  0.00
Zn: 0.203 0.904 0.452  0.00
Fe: 0.796 0.093 0.547  3.77
Si: 0.864 0.621 0.598  0.01
Si: 0.367 0.622 0.097  0.00
Si: 0.041 0.196 0.812  0.00
Si: 0.545 0.194 0.310  0.00
Si: 0.633 0.379 0.904  0.00
Si: 0.138 0.379 0.402  0.00
Si: 0.454 0.805 0.690  0.00
Si: 0.959 0.807 0.189  0.00
O: 0.867 0.792 0.513  0.02
O: 0.369 0.795 0.014  0.00
O: 0.040 0.028 0.897  0.00
O: 0.543 0.026 0.396  0.02
O: 0.631 0.206 0.987  0.00
O: 0.138 0.207 0.485  0.02
O: 0.451 0.971 0.604  0.02
O: 0.960 0.974 0.103  0.00
O: 0.735 0.390 0.559  0.02
O: 0.235 0.393 0.057  0.00
O: 0.017 0.118 0.697  0.02
O: 0.522 0.114 0.195  0.00
O: 0.766 0.609 0.944  0.00
O: 0.268 0.609 0.441  0.00
O: 0.479 0.884 0.805  0.00
O: 0.982 0.886 0.304  0.00
O: 0.165 0.633 0.667  0.00
O: 0.670 0.635 0.166  0.00
O: 0.813 0.333 0.818  0.00
O: 0.318 0.332 0.316  0.00
O: 0.331 0.367 0.835  0.00
O: 0.834 0.365 0.334  0.00
O: 0.683 0.668 0.683  0.00
O: 0.187 0.669 0.183  0.00

Calculated values
M_tot = 4.00 μB per cell
SG = P1 (1)
VASP energy = -7.116 eV per atom

Record 14
First-principles (GGA+U) data for a relaxed CaSmFe4O12 crystal, as listed in Alexandria.

a b c (Å): 5.364 5.364 7.622
angles (deg): 90.00 90.00 90.00
Last column: magnetic moment on the atom in μB.
Element x y z (fractional)
Ca: 0.500 0.500 0.000  0.00
Sm: 0.000 0.000 0.500  0.00
Fe: 0.000 0.500 0.248  3.77
Fe: 0.000 0.500 0.752  3.77
Fe: 0.500 0.000 0.248  3.77
Fe: 0.500 0.000 0.752  3.77
O: 0.245 0.245 0.258  0.24
O: 0.245 0.245 0.742  0.24
O: 0.755 0.755 0.742  0.24
O: 0.755 0.755 0.258  0.24
O: 0.755 0.245 0.258  0.24
O: 0.755 0.245 0.742  0.24
O: 0.245 0.755 0.742  0.24
O: 0.245 0.755 0.258  0.24
O: 0.000 0.500 0.000  0.28
O: 0.000 0.500 0.500  0.26
O: 0.500 0.000 0.000  0.28
O: 0.500 0.000 0.500  0.26

Calculated values
M_tot = 18.72 μB per cell
SG = P4/mmm (123)
VASP energy = -6.239 eV per atom